# TbSmPdPb (GGA-PBE, optimized geometry)
# * total DFT energy (no corrections): -82.649 eV/cell
# * N(E_F): 0.551 states/eV per atom
# * formation energy from the elements: -0.603 eV per atom
# * crystal system: cubic
data_TbSmPdPb
_symmetry_space_group_name_H-M 'F -4 3 m'
_symmetry_Int_Tables_number 216
_symmetry_space_group_name_Hall 'F -4 2 3'
_cell_length_a 7.458
_cell_length_b 7.458
_cell_length_c 7.458
_cell_angle_alpha 90.00
_cell_angle_beta 90.00
_cell_angle_gamma 90.00
loop_
_atom_site_label
_atom_site_fract_x
_atom_site_fract_y
_atom_site_fract_z
Tb1 0.000 0.000 0.000
Sm1 0.000 0.000 0.500
Pd1 0.250 0.250 0.250
Pb1 0.250 0.250 0.750